Arrangement P

Here is an optimized crystal structure of Y3NiAg from Alexandria via LeMat-Bulk. Energies are from PBE-GGA.

Values from the calculation:
The value obtained for the density of states at the Fermi level is 10.05 states/eV/cell. The total magnetization comes out at 0.000 μB/f.u. For the volume, the calculation gives 26.10 Å³/atom.

Cell: 3.734 9.314 7.739 Å, 82.07 90.00 101.58°
Atoms (fractional coordinates):
Y  0.262  0.523  0.789
Y  0.894  0.789  0.472
Y  0.106  0.211  0.528
Y  0.402  0.804  0.072
Y  0.738  0.477  0.211
Ag  0.473  0.945  0.693
Y  0.598  0.196  0.928
Ag  0.527  0.055  0.307
Ni  0.866  0.731  0.842
Ni  0.134  0.269  0.158


Arrangement Q

Here is an optimized crystal structure of Y3NiAg from Alexandria via LeMat-Bulk. Energies are from PBE-GGA.

Values from the calculation:
The value obtained for the density of states at the Fermi level is 11.72 states/eV/cell. The total magnetization comes out at 0.001 μB/f.u. For the volume, the calculation gives 25.04 Å³/atom.

Cell: 6.028 6.028 8.521 Å, 67.53 67.53 65.13°
Atoms (fractional coordinates):
Ag  0.284  0.716  0.500
Ni  0.308  0.692  0.000
Y  0.970  0.970  0.226
Y  0.291  0.291  0.318
Y  0.030  0.030  0.774
Ag  0.716  0.284  0.500
Y  0.319  0.319  0.872
Y  0.681  0.681  0.128
Y  0.709  0.709  0.682
Ni  0.692  0.308  0.000


Which one sits at the bottom of the stability order? arrangement P does.


Arrangement P

Here is an optimized crystal structure of ZnNi3Ag from Alexandria via LeMat-Bulk. Energies are from PBE-GGA.

Values from the calculation:
The value obtained for the density of states at the Fermi level is 5.12 states/eV/cell. The total magnetization comes out at 0.994 μB/f.u. For the volume, the calculation gives 19.73 Å³/atom.

Cell: 4.621 4.621 4.621 Å, 90.00 90.00 90.00°
Each line ends with the local moment (μB).
Atoms (fractional coordinates):
Ag  0.000  0.000  0.000  0.04
Zn  0.500  0.500  0.500  -0.01
Ni  0.000  0.500  0.000  0.37
Ni  0.500  0.000  0.000  0.21
Ni  0.000  0.000  0.500  0.45


Arrangement Q

Here is an optimized crystal structure of ZnNi3Ag from Alexandria via LeMat-Bulk. Energies are from PBE-GGA.

Values from the calculation:
The value obtained for the density of states at the Fermi level is 6.22 states/eV/cell. The total magnetization comes out at 0.000 μB/f.u. For the volume, the calculation gives 16.36 Å³/atom.

Cell: 4.341 4.341 4.341 Å, 90.00 90.00 90.00°
Atoms (fractional coordinates):
Zn  0.000  0.000  0.000
Ni  0.000  0.500  0.000
Ni  0.500  0.000  0.000
Ni  0.000  0.000  0.500
Ag  0.500  0.500  0.500


Which one sits at the bottom of the stability order? arrangement P does.


Arrangement P

Here is an optimized crystal structure of Zn3NiAg from Alexandria via LeMat-Bulk. Energies are from PBE-GGA.

Values from the calculation:
The value obtained for the density of states at the Fermi level is 2.27 states/eV/cell. The total magnetization comes out at 0.000 μB/f.u. For the volume, the calculation gives 18.72 Å³/atom.

Cell: 4.540 4.540 4.540 Å, 90.00 90.00 90.00°
Atoms (fractional coordinates):
Zn  0.000  0.500  0.000
Ni  0.000  0.000  0.000
Zn  0.000  0.000  0.500
Ag  0.500  0.500  0.500
Zn  0.500  0.000  0.000


Arrangement Q

Here is an optimized crystal structure of Zn3NiAg from Alexandria via LeMat-Bulk. Energies are from PBE-GGA.

Values from the calculation:
The value obtained for the density of states at the Fermi level is 4.41 states/eV/cell. The total magnetization comes out at 0.740 μB/f.u. For the volume, the calculation gives 22.08 Å³/atom.

Cell: 4.797 4.797 4.797 Å, 90.00 90.00 90.00°
Each line ends with the local moment (μB).
Atoms (fractional coordinates):
Ni  0.500  0.500  0.500  0.71
Zn  0.000  0.500  0.000  0.01
Ag  0.000  0.000  0.000  0.01
Zn  0.500  0.000  0.000  0.01
Zn  0.000  0.000  0.500  0.01


Which one sits at the bottom of the stability order? arrangement Q does.


Arrangement P

Here is an optimized crystal structure of Zr2Ni2Ag from Alexandria via LeMat-Bulk. Energies are from PBE-GGA.

Values from the calculation:
The value obtained for the density of states at the Fermi level is 4.45 states/eV/cell. The total magnetization comes out at 0.000 μB/f.u. For the volume, the calculation gives 18.02 Å³/atom.

Cell: 3.358 3.358 8.334 Å, 78.38 78.38 90.00°
Atoms (fractional coordinates):
Ag  0.000  0.000  0.000
Ni  0.250  0.750  0.500
Ni  0.750  0.250  0.500
Zr  0.378  0.378  0.244
Zr  0.622  0.622  0.756


Arrangement Q

Here is an optimized crystal structure of Zr2Ni2Ag from Alexandria via LeMat-Bulk. Energies are from PBE-GGA.

Values from the calculation:
The value obtained for the density of states at the Fermi level is 6.00 states/eV/cell. The total magnetization comes out at 0.000 μB/f.u. For the volume, the calculation gives 18.29 Å³/atom.

Cell: 4.879 4.879 5.164 Å, 61.81 61.81 90.00°
Atoms (fractional coordinates):
Ag  0.000  0.000  0.000
Ni  0.360  0.360  0.281
Ni  0.640  0.640  0.719
Zr  0.250  0.750  0.500
Zr  0.750  0.250  0.500


Arrangement R

Here is an optimized crystal structure of Zr2Ni2Ag from Alexandria via LeMat-Bulk. Energies are from PBE-GGA.

Values from the calculation:
The value obtained for the density of states at the Fermi level is 7.95 states/eV/cell. The total magnetization comes out at 0.000 μB/f.u. For the volume, the calculation gives 16.92 Å³/atom.

Cell: 7.159 7.159 3.301 Å, 90.00 90.00 90.00°
Atoms (fractional coordinates):
Zr  0.329  0.171  0.500
Ni  0.875  0.625  0.000
Zr  0.171  0.671  0.500
Ag  0.000  0.000  0.000
Ni  0.125  0.375  0.000
Zr  0.829  0.329  0.500
Ag  0.500  0.500  0.000
Ni  0.375  0.875  0.000
Zr  0.671  0.829  0.500
Ni  0.625  0.125  0.000


Which one sits at the bottom of the stability order? arrangement P does.


Arrangement P

Here is an optimized crystal structure of ZrNi2Ag2 from Alexandria via LeMat-Bulk. Energies are from PBE-GGA.

Values from the calculation:
The value obtained for the density of states at the Fermi level is 4.67 states/eV/cell. The total magnetization comes out at 0.000 μB/f.u. For the volume, the calculation gives 16.26 Å³/atom.

Cell: 6.547 6.547 3.793 Å, 90.00 90.00 90.00°
Atoms (fractional coordinates):
Ag  0.667  0.833  0.500
Ag  0.167  0.667  0.500
Zr  0.000  0.000  0.000
Ag  0.833  0.333  0.500
Ni  0.872  0.628  0.000
Ni  0.372  0.872  0.000
Ag  0.333  0.167  0.500
Zr  0.500  0.500  0.000
Ni  0.128  0.372  0.000
Ni  0.628  0.128  0.000


Arrangement Q

Here is an optimized crystal structure of ZrNi2Ag2 from Alexandria via LeMat-Bulk. Energies are from PBE-GGA.

Values from the calculation:
The value obtained for the density of states at the Fermi level is 6.24 states/eV/cell. The total magnetization comes out at 0.000 μB/f.u. For the volume, the calculation gives 16.87 Å³/atom.

Cell: 3.663 3.663 6.800 Å, 74.38 74.38 90.00°
Atoms (fractional coordinates):
Ni  0.250  0.750  0.500
Ag  0.393  0.393  0.215
Zr  0.000  0.000  0.000
Ag  0.607  0.607  0.785
Ni  0.750  0.250  0.500


Which one sits at the bottom of the stability order? arrangement Q does.


Arrangement P

Here is an optimized crystal structure of ZrNiAg3 from Alexandria via LeMat-Bulk. Energies are from PBE-GGA.

Values from the calculation:
The value obtained for the density of states at the Fermi level is 7.10 states/eV/cell. The total magnetization comes out at 1.548 μB/f.u. For the volume, the calculation gives 28.64 Å³/atom.

Cell: 5.232 5.232 5.232 Å, 90.00 90.00 90.00°
Each line ends with the local moment (μB).
Atoms (fractional coordinates):
Ag  0.000  0.500  0.000  0.02
Ag  0.000  0.000  0.500  0.04
Ni  0.500  0.500  0.500  0.88
Zr  0.000  0.000  0.000  0.46
Ag  0.500  0.000  0.000  0.06


Arrangement Q

Here is an optimized crystal structure of ZrNiAg3 from Alexandria via LeMat-Bulk. Energies are from PBE-GGA.

Values from the calculation:
The value obtained for the density of states at the Fermi level is 6.51 states/eV/cell. The total magnetization comes out at 1.600 μB/f.u. For the volume, the calculation gives 20.98 Å³/atom.

Cell: 4.716 4.716 4.716 Å, 90.00 90.00 90.00°
Each line ends with the local moment (μB).
Atoms (fractional coordinates):
Ni  0.000  0.000  0.000  0.28
Ag  0.000  0.000  0.500  0.01
Ag  0.500  0.000  0.000  0.04
Ag  0.000  0.500  0.000  0.02
Zr  0.500  0.500  0.500  0.76


Which one sits at the bottom of the stability order? arrangement P does.